(1)
## PmGeTeO6 (PBE-GGA)

Data for a relaxed PmGeTeO6 crystal.

a b c (Å): 5.2590 5.2590 10.1768
angles (deg): 90.00 90.00 120.00
Last column: nearest neighbours and their distance in Å.
Fractional coordinates of all 18 atoms:
1 Pm 0.0000 0.0000 0.0000  6 O 2.41
2 Pm 0.0000 0.0000 0.5000  6 O 2.41
3 Ge 0.3333 0.6667 0.2500  6 O 1.93
4 Ge 0.6667 0.3333 0.7500  6 O 1.93
5 Te 0.3333 0.6667 0.7500  6 O 2.08
6 Te 0.6667 0.3333 0.2500  6 O 2.08
7 O 0.0204 0.3763 0.1416  1 Ge 1.93, 1 Te 2.08
8 O 0.0204 0.6440 0.3584  1 Ge 1.93, 1 Te 2.08
9 O 0.3560 0.3763 0.3584  1 Ge 1.93, 1 Te 2.08
10 O 0.3560 0.9796 0.1416  1 Ge 1.93, 1 Te 2.08
11 O 0.3763 0.0204 0.6416  1 Ge 1.93, 1 Te 2.08
12 O 0.3763 0.3560 0.8584  1 Ge 1.93, 1 Te 2.08
13 O 0.6237 0.6440 0.1416  1 Ge 1.93, 1 Te 2.08
14 O 0.6237 0.9796 0.3584  1 Ge 1.93, 1 Te 2.08
15 O 0.6440 0.0204 0.8584  1 Ge 1.93, 1 Te 2.08
16 O 0.6440 0.6237 0.6416  1 Ge 1.93, 1 Te 2.08
17 O 0.9796 0.3560 0.6416  1 Ge 1.93, 1 Te 2.08
18 O 0.9796 0.6237 0.8584  1 Ge 1.93, 1 Te 2.08

Summary:
Space group   P-31c, No. 163
DFT total energy   -118.0 eV per cell
Formation energy (no corrections)   -1613.9 kJ/mol of formula units
Fermi-level density of states   0.4377 states/eV/atom
Magnetization   0.6 μB/f.u.


(2)
## Th12TlIn3 (PBE-GGA)

Data for a relaxed Th12TlIn3 crystal.

a b c (Å): 4.9546 4.9546 19.8352
angles (deg): 90.00 90.00 90.00
Last column: nearest neighbours and their distance in Å.
Fractional coordinates of all 16 atoms:
1 Th 0.0000 0.0000 0.0000  8 Th 3.50, 4 In 3.50
2 Th 0.0000 0.0000 0.2496  8 Th 3.50, 4 In 3.50
3 Th 0.0000 0.0000 0.5000  4 Tl 3.50, 8 Th 3.52
4 Th 0.0000 0.0000 0.7504  8 Th 3.50, 4 In 3.50
5 Th 0.0000 0.5000 0.1249  8 Th 3.50, 4 In 3.50-3.51
6 Th 0.0000 0.5000 0.3742  2 In 3.50, 8 Th 3.50-3.52, 2 Tl 3.52
7 Th 0.0000 0.5000 0.6258  2 In 3.50, 8 Th 3.50-3.52, 2 Tl 3.52
8 Th 0.0000 0.5000 0.8751  8 Th 3.50, 4 In 3.50-3.51
9 Th 0.5000 0.0000 0.1249  8 Th 3.50, 4 In 3.50-3.51
10 Th 0.5000 0.0000 0.3742  2 In 3.50, 8 Th 3.50-3.52, 2 Tl 3.52
11 Th 0.5000 0.0000 0.6258  2 In 3.50, 8 Th 3.50-3.52, 2 Tl 3.52
12 Th 0.5000 0.0000 0.8751  8 Th 3.50, 4 In 3.50-3.51
13 Tl 0.5000 0.5000 0.5000  12 Th 3.50-3.52
14 In 0.5000 0.5000 0.0000  12 Th 3.50
15 In 0.5000 0.5000 0.2499  12 Th 3.50-3.51
16 In 0.5000 0.5000 0.7501  12 Th 3.50-3.51

Summary:
Space group   P4/mmm, No. 123
Energy of formation   -0.132 eV per atom
DFT total energy   -101.7 eV per cell
Fermi-level density of states   1.2754 states/eV/atom
Magnetization   0.0 μB/f.u.


(3)
## Ga3Pb5 (PBE-GGA)

Data for a relaxed Ga3Pb5 crystal.

a b c (Å): 3.5676 3.5676 16.9778
angles (deg): 90.00 90.00 90.00
Last column: nearest neighbours and their distance in Å.
Fractional coordinates of all 8 atoms:
1 Ga 0.0000 0.0000 0.0000  8 Ga 2.89
2 Ga 0.5000 0.5000 0.0826  5 Ga 2.81-2.89
3 Ga 0.5000 0.5000 0.9174  5 Ga 2.81-2.89
4 Pb 0.0000 0.0000 0.2022  5 Ga 3.24-3.43, 8 Pb 3.57-3.59
5 Pb 0.0000 0.0000 0.5000  12 Pb 3.55-3.57
6 Pb 0.0000 0.0000 0.7978  5 Ga 3.24-3.43, 8 Pb 3.57-3.59
7 Pb 0.5000 0.5000 0.3528  12 Pb 3.55-3.59
8 Pb 0.5000 0.5000 0.6472  12 Pb 3.55-3.59

Summary:
Space group   P4/mmm, No. 123
Energy of formation   0.029 eV per atom
DFT total energy   -27.4 eV per cell
Fermi-level density of states   0.4190 states/eV/atom
Magnetization   0.0 μB/f.u.


(4)
## K2AgGeI5 (PBE-GGA)

Data for a relaxed K2AgGeI5 crystal.

a b c (Å): 10.6349 10.6349 15.1180
angles (deg): 90.00 90.00 155.01
Last column: nearest neighbours and their distance in Å.
Fractional coordinates of all 18 atoms:
1 K 0.0967 0.9033 0.5000  6 I 3.50-3.76
2 K 0.1271 0.8729 0.1354  8 I 3.54-3.94
3 K 0.8729 0.1271 0.6354  8 I 3.54-3.94
4 K 0.9033 0.0967 0.0000  6 I 3.50-3.76
5 Ag 0.4358 0.5642 0.2798  4 I 2.79-3.05
6 Ag 0.5642 0.4358 0.7798  4 I 2.79-3.05
7 Ge 0.2197 0.7803 0.8562  5 I 2.89-3.11
8 Ge 0.7803 0.2197 0.3562  5 I 2.89-3.11
9 I 0.0652 0.9348 0.8891  2 Ag 2.83
10 I 0.2715 0.7285 0.4938  2 Ge 3.11
11 I 0.2947 0.7053 0.2226  1 Ag 3.05, 2 Ge 3.08
12 I 0.3573 0.6427 0.8289  1 Ge 2.89
13 I 0.4980 0.5020 0.1165  1 Ag 2.79
14 I 0.5020 0.4980 0.6165  1 Ag 2.79
15 I 0.6427 0.3573 0.3289  1 Ge 2.89
16 I 0.7053 0.2947 0.7226  1 Ag 3.05, 2 Ge 3.08
17 I 0.7285 0.2715 0.9938  2 Ge 3.11
18 I 0.9348 0.0652 0.3891  2 Ag 2.83

Summary:
Space group   Cmc2_1, No. 36
DFT total energy   -49.4 eV per cell
Formation energy (no corrections)   -703.5 kJ/mol of formula units
Fermi-level density of states   0.0000 states/eV/atom
Magnetization   0.0 μB/f.u.


(5)
## TaAlAsSe2 (PBE-GGA)

Data for a relaxed TaAlAsSe2 crystal.

a b c (Å): 5.0313 5.0313 5.0892
angles (deg): 90.00 90.00 90.00
Last column: nearest neighbours and their distance in Å.
Fractional coordinates of all 5 atoms:
1 Ta 0.0000 0.0000 0.0000  4 Se 2.52, 2 As 2.54
2 Al 0.5000 0.5000 0.5000  4 As 3.56, 8 Se 3.58
3 As 0.0000 0.0000 0.5000  2 Ta 2.54
4 Se 0.0000 0.5000 0.0000  2 Ta 2.52
5 Se 0.5000 0.0000 0.0000  2 Ta 2.52

Summary:
Space group   P4/mmm, No. 123
DFT total energy   -26.9 eV per cell
Formation energy (no corrections)   34.4 kJ/mol of formula units
Fermi-level density of states   0.3875 states/eV/atom
Energy above the lowest structure with this stoichiometry   0 meV per atom
Magnetization   0.0 μB/f.u.


(6)
## Ac2NiSn2H4 (PBE-GGA)

Data for a relaxed Ac2NiSn2H4 crystal.

a b c (Å): 6.1474 6.1474 6.1474
angles (deg): 116.75 116.75 95.73
Last column: nearest neighbours and their distance in Å.
Fractional coordinates of all 9 atoms:
1 Ac 0.2500 0.7500 0.5000  8 H 3.15, 4 Sn 3.29
2 Ac 0.7500 0.2500 0.5000  8 H 3.15, 4 Sn 3.29
3 Ni 0.0000 0.0000 0.0000  4 H 1.57
4 Sn 0.3297 0.3297 0.0000  1 Ni 2.72, 1 Sn 2.81
5 Sn 0.6703 0.6703 0.0000  1 Ni 2.72, 1 Sn 2.81
6 H 0.1722 0.1722 0.3444  1 Ni 1.57
7 H 0.1722 0.8278 0.0000  1 Ni 1.57
8 H 0.8278 0.1722 0.0000  1 Ni 1.57
9 H 0.8278 0.8278 0.6556  1 Ni 1.57

Summary:
Space group   I4/mmm, No. 139
DFT total energy   -36.6 eV per cell
Fermi-level density of states   0.4582 states/eV/atom
Magnetization   0.0 μB/f.u.


(7)
## MnMoCl2 (PBE-GGA)

Data for a relaxed MnMoCl2 crystal.

a b c (Å): 8.0555 8.0555 8.0555
angles (deg): 21.52 21.52 21.52
Last column: nearest neighbours and their distance in Å.
Fractional coordinates of all 4 atoms:
1 Mn 0.0000 0.0000 0.0000  6 Cl 2.34
2 Mo 0.5000 0.5000 0.5000  2 Cl 2.36
3 Cl 0.3999 0.3999 0.3999  3 Mn 2.34, 1 Mo 2.36
4 Cl 0.6001 0.6001 0.6001  3 Mn 2.34, 1 Mo 2.36

Summary:
Space group   R-3m, No. 166
DFT total energy   -22.0 eV per cell
Formation energy (no corrections)   166.1 kJ/mol of formula units
Fermi-level density of states   2.1581 states/eV/atom
Energy above the lowest structure with this stoichiometry   734 meV per atom
Magnetization   0.0 μB/f.u.


(8)
## AsC2 (PBE-GGA)

Data for a relaxed AsC2 crystal.

a b c (Å): 8.9561 8.9561 2.7910
angles (deg): 90.00 90.00 163.55
Last column: nearest neighbours and their distance in Å.
Fractional coordinates of all 3 atoms:
1 As 0.0000 0.0000 0.0000  4 As 2.56-2.79
2 C 0.1356 0.6356 0.4648  2 C 1.28
3 C 0.6356 0.1356 0.4648  2 C 1.28

Summary:
Space group   Cm, No. 8
Energy of formation   0.923 eV per atom
DFT total energy   -20.3 eV per cell
Fermi-level density of states   0.2715 states/eV/atom
Energy above the lowest structure with this stoichiometry   572 meV per atom
Magnetization   0.0 μB/f.u.


(9)
## Sc2Ag2Pd (PBE-GGA)

Data for a relaxed Sc2Ag2Pd crystal.

a b c (Å): 8.1565 8.1565 8.1565
angles (deg): 153.95 153.95 37.17
Last column: nearest neighbours and their distance in Å.
Fractional coordinates of all 5 atoms:
1 Sc 0.0940 0.0940 0.0000  1 Sc 2.91, 4 Pd 2.98, 4 Ag 3.03
2 Sc 0.9060 0.9060 0.0000  1 Sc 2.91, 4 Pd 2.98, 4 Ag 3.03
3 Ag 0.2500 0.7500 0.5000  4 Ag 2.60
4 Ag 0.7500 0.2500 0.5000  4 Ag 2.60
5 Pd 0.5000 0.5000 0.0000  8 Sc 2.98

Summary:
Space group   I4/mmm, No. 139
Energy of formation   -0.145 eV per atom
DFT total energy   -24.3 eV per cell
Fermi-level density of states   0.9810 states/eV/atom
Energy above the lowest structure with this stoichiometry   236 meV per atom
Magnetization   0.0 μB/f.u.


(10)
## Cs2Mn3Cl10 (PBE-GGA)

Data for a relaxed Cs2Mn3Cl10 crystal.

a b c (Å): 12.2163 12.2163 10.4076
angles (deg): 109.02 109.02 35.17
Last column: nearest neighbours and their distance in Å.
Fractional coordinates of all 30 atoms:
1 Cs 0.1194 0.1194 0.2445  12 Cl 3.58-3.77
2 Cs 0.2213 0.2213 0.7986  11 Cl 3.64-3.86
3 Cs 0.7787 0.7787 0.2014  11 Cl 3.64-3.86
4 Cs 0.8806 0.8806 0.7555  12 Cl 3.58-3.77
5 Mn 0.2438 0.7562 0.5000  6 Cl 2.43-2.61
6 Mn 0.3212 0.3212 0.4828  6 Cl 2.27-2.53
7 Mn 0.4321 0.4321 0.0565  4 Cl 2.25-2.41
8 Mn 0.5679 0.5679 0.9435  4 Cl 2.25-2.41
9 Mn 0.6788 0.6788 0.5172  6 Cl 2.27-2.53
10 Mn 0.7562 0.2438 0.5000  6 Cl 2.43-2.61
11 Cl 0.0000 0.5000 0.5000  2 Mn 2.53
12 Cl 0.0183 0.0183 0.6709  2 Mn 2.46
13 Cl 0.1385 0.5907 0.0330  1 Mn 2.25
14 Cl 0.1509 0.6325 0.4672  2 Mn 2.43-2.46
15 Cl 0.2742 0.2742 0.2523  1 Mn 2.27
16 Cl 0.2929 0.7071 0.0000  2 Mn 2.41
17 Cl 0.3614 0.3614 0.7148  1 Mn 2.27
18 Cl 0.3675 0.8491 0.5328  2 Mn 2.43-2.46
19 Cl 0.4093 0.8615 0.9670  1 Mn 2.25
20 Cl 0.4827 0.4827 0.3178  3 Mn 2.57-2.61
21 Cl 0.5000 0.0000 0.5000  2 Mn 2.53
22 Cl 0.5173 0.5173 0.6822  3 Mn 2.57-2.61
23 Cl 0.5907 0.1385 0.0330  1 Mn 2.25
24 Cl 0.6325 0.1509 0.4672  2 Mn 2.43-2.46
25 Cl 0.6386 0.6386 0.2852  1 Mn 2.27
26 Cl 0.7071 0.2929 0.0000  2 Mn 2.41
27 Cl 0.7258 0.7258 0.7477  1 Mn 2.27
28 Cl 0.8491 0.3675 0.5328  2 Mn 2.43-2.46
29 Cl 0.8615 0.4093 0.9670  1 Mn 2.25
30 Cl 0.9817 0.9817 0.3291  2 Mn 2.46

Summary:
Space group   C2/m, No. 12
DFT total energy   -134.2 eV per cell
Formation energy (no corrections)   -1874.0 kJ/mol of formula units
Fermi-level density of states   0.2596 states/eV/atom
Magnetization   13.0 μB/f.u.


(11)
## Pm3Dy2Y3 (PBE-GGA)

Data for a relaxed Pm3Dy2Y3 crystal.

a b c (Å): 6.2036 14.3810 6.2274
angles (deg): 90.00 109.35 90.00
Last column: nearest neighbours and their distance in Å.
Fractional coordinates of all 16 atoms:
1 Pm 0.2494 0.1248 0.2498  6 Y 3.58-3.59, 3 Dy 3.59, 3 Pm 3.60
2 Pm 0.2495 0.2500 0.7498  4 Dy 3.58-3.59, 4 Y 3.59-3.60, 4 Pm 3.60
3 Pm 0.2494 0.3752 0.2498  6 Y 3.58-3.59, 3 Dy 3.59, 3 Pm 3.60
4 Pm 0.7506 0.6248 0.7502  6 Y 3.58-3.59, 3 Dy 3.59, 3 Pm 3.60
5 Pm 0.7505 0.7500 0.2502  4 Dy 3.58-3.59, 4 Y 3.59-3.60, 4 Pm 3.60
6 Pm 0.7506 0.8752 0.7502  6 Y 3.58-3.59, 3 Dy 3.59, 3 Pm 3.60
7 Dy 0.2503 0.6251 0.2503  6 Y 3.58-3.60, 5 Pm 3.58-3.59, 1 Dy 3.59
8 Dy 0.2503 0.8749 0.2503  6 Y 3.58-3.60, 5 Pm 3.58-3.59, 1 Dy 3.59
9 Dy 0.7497 0.1251 0.7497  6 Y 3.58-3.60, 5 Pm 3.58-3.59, 1 Dy 3.59
10 Dy 0.7497 0.3749 0.7497  6 Y 3.58-3.60, 5 Pm 3.58-3.59, 1 Dy 3.59
11 Y 0.2502 0.0004 0.7500  4 Dy 3.58-3.60, 5 Pm 3.58-3.59, 3 Y 3.59-3.60
12 Y 0.2502 0.4996 0.7500  4 Dy 3.58-3.60, 5 Pm 3.58-3.59, 3 Y 3.59-3.60
13 Y 0.2507 0.7500 0.7504  6 Pm 3.59-3.60, 4 Dy 3.59, 2 Y 3.60
14 Y 0.7493 0.2500 0.2496  6 Pm 3.59-3.60, 4 Dy 3.59, 2 Y 3.60
15 Y 0.7498 0.9996 0.2500  4 Dy 3.58-3.60, 5 Pm 3.58-3.59, 3 Y 3.59-3.60
16 Y 0.7498 0.5004 0.2500  4 Dy 3.58-3.60, 5 Pm 3.58-3.59, 3 Y 3.59-3.60

Summary:
Space group   P2_1/m, No. 11
Energy of formation   0.016 eV per atom
DFT total energy   -85.4 eV per cell
Fermi-level density of states   1.3795 states/eV/atom
Energy above the lowest structure with this stoichiometry   0 meV per atom
Magnetization   0.0 μB/f.u.


(12)
## NdEuDy2 (PBE-GGA)

Data for a relaxed NdEuDy2 crystal.

a b c (Å): 12.0896 12.0896 12.0896
angles (deg): 17.35 17.35 17.35
Last column: nearest neighbours and their distance in Å.
Fractional coordinates of all 4 atoms:
1 Nd 0.0000 0.0000 0.0000  6 Dy 3.57, 6 Nd 3.65
2 Eu 0.5000 0.5000 0.5000  6 Eu 3.65, 6 Dy 3.72
3 Dy 0.2525 0.2525 0.2525  3 Nd 3.57, 6 Dy 3.65, 3 Eu 3.72
4 Dy 0.7475 0.7475 0.7475  3 Nd 3.57, 6 Dy 3.65, 3 Eu 3.72

Summary:
Space group   R-3m, No. 166
Energy of formation   0.055 eV per atom
DFT total energy   -24.0 eV per cell
Fermi-level density of states   1.3698 states/eV/atom
Energy above the lowest structure with this stoichiometry   0 meV per atom
Magnetization   7.7 μB/f.u.